Li3SnH: relaxed, GGA-PBEsol.

Results
Size of the total moment = 0.000 μB/f.u.
Final energy = -3.026 eV per atom
Space-group type = No. 221

Unit cell a=4.0978 b=4.0978 c=4.0978 alpha=90.00 beta=90.00 gamma=90.00
Sites, in units of the cell vectors:
Li (0.0000, 0.0000, 0.5000)
H (0.0000, 0.0000, 0.0000)
Li (0.5000, 0.0000, 0.0000)
Sn (0.5000, 0.5000, 0.5000)
Li (0.0000, 0.5000, 0.0000)


Ag3AsAu: relaxed, GGA-PBEsol.

Results
Distance to the lowest polymorph of the same formula = 0 meV per atom
Size of the total moment = 0.000 μB/f.u.
Space-group type = No. 221
E_form = 0.544 eV per atom

Unit cell a=4.7710 b=4.7710 c=4.7710 alpha=90.00 beta=90.00 gamma=90.00
Sites, in units of the cell vectors:
As (0.0000, 0.0000, 0.0000)
Au (0.5000, 0.5000, 0.5000)
Ag (0.0000, 0.0000, 0.5000)
Ag (0.5000, 0.0000, 0.0000)
Ag (0.0000, 0.5000, 0.0000)


Look up the size of the total moment of the first one.
0.000 μB/f.u.